Zr3InCo8 (PBE, optimized geometry); volume = 13.84 Å³/atom; total moment = 0.487 μB/atom; energy = -88.36 eV/cell; calculated formation energy = -0.261 eV per atom; symmetry = P3m1 (156)
1.0
4.882 0.000 0.000
-2.441 4.228 0.000
0.000 0.000 8.045
Co Zr In
8 3 1
direct
0.671 0.835 0.248
0.501 0.499 0.753
0.333 0.667 0.502
0.501 0.002 0.753
0.165 0.329 0.248
0.998 0.499 0.753
0.165 0.835 0.248
0.333 0.667 0.007
0.667 0.333 0.443
0.667 0.333 0.068
0.000 0.000 0.921
0.000 0.000 0.556

***

ZrInCo (PBE, optimized geometry); volume = 19.84 Å³/atom; total moment = 0.000 μB/atom; energy = -111.11 eV/cell; calculated formation energy = -0.042 eV per atom; symmetry = P6_222 (180)
1.0
-2.521 5.546 0.755
-1.164 -4.476 4.036
8.640 3.118 5.948
In Co Zr
6 6 6
direct
0.000 0.500 0.333
0.000 0.000 0.833
0.000 0.000 0.167
0.500 0.500 0.000
0.500 0.000 0.667
0.000 0.000 0.500
0.213 0.607 0.833
0.607 0.213 0.167
0.607 0.393 0.500
0.787 0.393 0.833
0.393 0.787 0.167
0.393 0.607 0.500
0.000 0.500 0.052
0.500 0.500 0.719
0.500 0.000 0.385
0.000 0.500 0.615
0.500 0.500 0.281
0.500 0.000 0.948

***

ZrInCo3 (PBE, optimized geometry); volume = 18.99 Å³/atom; total moment = 0.270 μB/atom; energy = -26.66 eV/cell; offset from the most stable computed form = 0.020 eV per atom; calculated formation energy = 1.189 eV per atom; symmetry = Pm-3m (221)
1.0
-4.355 0.311 -1.324
0.182 -4.267 -1.604
-1.348 -1.584 4.060
In Co Zr
1 3 1
direct
0.500 0.500 0.500
0.000 0.000 0.500
0.000 0.500 0.000
0.500 0.000 0.000
0.000 0.000 0.000

***

ZrIn2Co2 (PBE, optimized geometry); volume = 17.37 Å³/atom; total moment = 0.000 μB/atom; energy = -56.89 eV/cell; offset from the most stable computed form = 0.000 eV per atom; calculated formation energy = -0.041 eV per atom; symmetry = P4/mbm (127)
1.0
-1.386 6.371 -0.856
-5.793 -0.858 2.991
1.702 0.846 3.540
In Co Zr
4 4 2
direct
0.829 0.329 0.500
0.171 0.671 0.500
0.329 0.171 0.500
0.671 0.829 0.500
0.374 0.874 0.000
0.626 0.126 0.000
0.874 0.626 0.000
0.126 0.374 0.000
0.000 0.000 0.000
0.500 0.500 0.000